# 1
The following is a DFT calculation (PBE) of a geometry-optimized TbNd2DySe6 structure.

```
data_TbNd2DySe6
_chemical_formula_sum 'Tb1 Nd2 Dy1 Se6'
_symmetry_space_group_name_H-M 'P 1'
_symmetry_Int_Tables_number 1
_cell_length_a 7.3625
_cell_length_b 7.3626
_cell_length_c 7.7970
_cell_angle_alpha 61.82
_cell_angle_beta 61.82
_cell_angle_gamma 60.00
loop_
_symmetry_equiv_pos_as_xyz
'x,y,z'
loop_
_atom_site_label
_atom_site_fract_x
_atom_site_fract_y
_atom_site_fract_z
Se1 0.7069 0.1040 0.7563
Se2 0.2061 0.9313 0.2570
Tb1 0.3183 0.3182 0.0451
Dy1 0.8185 0.8186 0.5442
Nd1 0.0191 0.0192 0.9426
Se3 0.6055 0.2062 0.2570
Se4 0.1040 0.4328 0.7563
Nd2 0.5190 0.5189 0.4432
Se5 0.9314 0.6055 0.2570
Se6 0.4327 0.7069 0.7563
```

Calculated values
crystal system	trigonal
uncorrected energy	-58.138	eV/cell
energy relative to the elements, uncorrected	-1846	meV per atom

***

# 2
The following is a DFT calculation (PBE) of a geometry-optimized Tb2NdDy3Se6 structure.

```
data_Tb2NdDy3Se6
_chemical_formula_sum 'Tb2 Nd1 Dy3 Se6'
_symmetry_space_group_name_H-M 'P 1'
_symmetry_Int_Tables_number 1
_cell_length_a 7.1118
_cell_length_b 7.1118
_cell_length_c 7.1357
_cell_angle_alpha 99.52
_cell_angle_beta 99.52
_cell_angle_gamma 120.28
loop_
_symmetry_equiv_pos_as_xyz
'x,y,z'
loop_
_atom_site_label
_atom_site_fract_x
_atom_site_fract_y
_atom_site_fract_z
Se1 0.5728 0.9145 0.7427
Tb1 0.3343 0.6657 0.0000
Se2 0.2565 0.2565 0.7468
Se3 0.9145 0.5728 0.7427
Dy1 0.1612 0.8388 0.5000
Dy2 0.5000 0.5000 0.5000
Nd1 0.0000 0.0000 0.0000
Se4 0.4272 0.0855 0.2573
Se5 0.7435 0.7435 0.2532
Dy3 0.8388 0.1612 0.5000
Tb2 0.6657 0.3343 0.0000
Se6 0.0855 0.4272 0.2573
```

Calculated values
crystal system	monoclinic
uncorrected energy	-70.024	eV/cell
energy relative to the elements, uncorrected	-1774	meV per atom

***

# 3
The following is a DFT calculation (PBE) of a geometry-optimized Tb4NdDy3Se8 structure.

```
data_Tb4NdDy3Se8
_chemical_formula_sum 'Tb4 Nd1 Dy3 Se8'
_symmetry_space_group_name_H-M 'P 1'
_symmetry_Int_Tables_number 1
_cell_length_a 8.2161
_cell_length_b 8.2109
_cell_length_c 8.2162
_cell_angle_alpha 120.03
_cell_angle_beta 120.00
_cell_angle_gamma 90.00
loop_
_symmetry_equiv_pos_as_xyz
'x,y,z'
loop_
_atom_site_label
_atom_site_fract_x
_atom_site_fract_y
_atom_site_fract_z
Tb1 0.0000 0.0000 0.5000
Se1 0.2542 0.7525 0.5083
Dy1 0.5000 0.5000 0.5000
Dy2 0.5000 0.5000 0.0000
Se2 0.7490 0.7478 0.4980
Tb2 0.0000 0.0000 0.0000
Se3 0.2556 0.2473 0.0016
Se4 0.7444 0.7527 0.9984
Se5 0.7458 0.2475 0.4917
Se6 0.2540 0.7527 0.9984
Se7 0.7460 0.2473 0.0016
Se8 0.2510 0.2522 0.5020
Tb3 0.5000 0.0000 0.0000
Dy3 0.0000 0.5000 0.5000
Tb4 0.5000 0.0000 0.5000
Nd1 0.0000 0.5000 0.0000
```

Calculated values
crystal system	trigonal
uncorrected energy	-93.204	eV/cell
energy relative to the elements, uncorrected	-1765	meV per atom